# CaAc2Ru, optimized geometry, DFT PBE-GGA
# energy above the most stable polymorph in this dataset: 0.0 kJ per mole of atoms
# formation energy: -2.40 kcal/mol of atoms
data_CaAc2Ru
_symmetry_space_group_name_H-M 'P n n a'
_symmetry_Int_Tables_number 52
_symmetry_space_group_name_Hall '-P 2a 2bc'
_cell_length_a 7.300
_cell_length_b 6.739
_cell_length_c 12.362
_cell_angle_alpha 90.00
_cell_angle_beta 90.00
_cell_angle_gamma 90.00
loop_
_atom_site_label
_atom_site_type_symbol
_atom_site_fract_x
_atom_site_fract_y
_atom_site_fract_z
Ca1 Ca 0.096 0.250 0.250
Ac1 Ac 0.079 0.235 0.582
Ru1 Ru 0.250 0.000 0.419

# Cs2RbS2O6, optimized geometry, DFT PBE-GGA
# formation energy without anion corrections: -1.60 eV per atom
data_Cs2RbS2O6
_symmetry_space_group_name_H-M 'R -3 m'
_symmetry_Int_Tables_number 166
_symmetry_space_group_name_Hall '-R 3 2"'
_cell_length_a 6.2886
_cell_length_b 6.2886
_cell_length_c 21.6397
_cell_angle_alpha 90.00
_cell_angle_beta 90.00
_cell_angle_gamma 120.00
loop_
_atom_site_label
_atom_site_type_symbol
_atom_site_fract_x
_atom_site_fract_y
_atom_site_fract_z
Cs1 Cs 0.0000 0.0000 0.2071
Rb1 Rb 0.0000 0.0000 0.0000
S1 S 0.0000 0.0000 0.4002
O1 O 0.0701 0.5350 0.2431